Here is a geometry-optimized PrSmGaPd structure from Alexandria via LeMat-Bulk. Energies are from PBE.

Summary:
For the energy above the most stable polymorph in this dataset, the calculation gives 0.0 kJ per mole of atoms. Its space-group type is Amm2 (38).

a = 4.4667 Å, b = 5.9760 Å, c = 5.9760 Å
α = 39.31°, β = 90.00°, γ = 90.00°
Fractional coordinates of all 4 atoms:
1 Pr 0.0000 0.0000 0.0000
2 Sm 0.5000 0.2840 0.2840
3 Ga 0.5000 0.5722 0.5722
4 Pd 0.0000 0.7192 0.7192

---

Here is a geometry-optimized PrSmGaPd structure from Alexandria via LeMat-Bulk. Energies are from PBE.

Summary:
For the energy above the most stable polymorph in this dataset, the calculation gives 6.1 kJ per mole of atoms. Its space-group type is F-43m (216).

a = 5.1860 Å, b = 5.1860 Å, c = 5.1860 Å
α = 60.00°, β = 60.00°, γ = 60.00°
Fractional coordinates of all 4 atoms:
1 Pr 0.0000 0.0000 0.0000
2 Sm 0.5000 0.5000 0.5000
3 Ga 0.7500 0.7500 0.7500
4 Pd 0.2500 0.2500 0.2500

---

Here is a geometry-optimized PrSmGa2Pd5 structure from Alexandria via LeMat-Bulk. Energies are from PBE.

Summary:
Its space-group type is P4/mmm (123).

a = 4.2961 Å, b = 4.2961 Å, c = 9.2822 Å
α = 90.00°, β = 90.00°, γ = 90.00°
Fractional coordinates of all 9 atoms:
1 Pr 0.0000 0.0000 0.0000
2 Sm 0.0000 0.0000 0.5000
3 Ga 0.5000 0.5000 0.3638
4 Ga 0.5000 0.5000 0.6362
5 Pd 0.0000 0.5000 0.2272
6 Pd 0.0000 0.5000 0.7728
7 Pd 0.5000 0.0000 0.2272
8 Pd 0.5000 0.0000 0.7728
9 Pd 0.5000 0.5000 0.0000

---

Let's list formation enthalpy at 0 K in order: -0.663, -0.600, -0.769 eV/atom.
Let's list VASP energy in order: -5.09, -5.03, -5.38 eV per atom.